No. 1
Below is a relaxed structure of HgOs2AuS, with properties calculated at the PBE-GGA level.

The value obtained for the uncorrected energy is -3.302 eV per atom.

It has space group P4/mmm (No. 123), with a = 5.069 Å, b = 5.069 Å, c = 5.087 Å, α = 90.00°, β = 90.00° and γ = 90.00°. The asymmetric unit holds Hg at (0.000, 0.000, 0.000), Os at (0.000, 0.500, 0.000), Au at (0.000, 0.000, 0.500) and S at (0.500, 0.500, 0.500).

No. 2
Below is a relaxed structure of CsZnPt3, with properties calculated at the PBE-GGA level.

For the formation energy, the calculation gives 2.030 eV per atom. The value obtained for the uncorrected energy is -2.020 eV per atom.

It has space group Pm-3m (No. 221), with a = 5.257 Å, b = 5.257 Å, c = 5.257 Å, α = 90.00°, β = 90.00° and γ = 90.00°. The asymmetric unit holds Cs at (0.000, 0.000, 0.000), Zn at (0.500, 0.500, 0.500) and Pt at (0.000, 0.000, 0.500).